Here is an optimized crystal structure of ErHg6 from the Alexandria database. Energies are from GGA-PBE.

Structure (extended XYZ):
```
7
Lattice="6.896 0.000 0.000 -2.299 6.502 0.000 -2.299 -3.251 5.631" Properties=species:S:1:pos:R:3 pbc="T T T"
Er 0.000 0.000 0.000
Hg -1.149 3.251 2.815
Hg 1.149 4.064 1.408
Hg -1.149 0.813 4.223
Hg 3.448 0.000 2.815
Hg 1.149 -0.813 4.223
Hg 3.448 2.438 1.408
```

Calculated values
Distance to the lowest polymorph of the same formula ... 600.7 meV/atom
DOS at the Fermi energy ... 5.037 states/eV per cell
Energy relative to the elements ... 0.47 eV/atom
Volume ... 36.07 A^3/atom
Symmetry ... Im-3m, No. 229